Entry from the Alexandria database: a geometry-optimized CrTeN2F structure (GGA+U).

a b c (Å): 3.6979 3.6979 5.7557
angles (deg): 90.00 90.00 90.00
Last column: nearest neighbours and their distance in Å.
Sites, in units of the cell vectors:
Cr 0.0000 0.0000 0.0000  4 N 1.85
Te 0.0000 0.0000 0.5000  4 F 2.61, 2 Cr 2.88
N 0.0000 0.5000 0.0000  2 Cr 1.85
N 0.5000 0.0000 0.0000  2 Cr 1.85
F 0.5000 0.5000 0.5000  4 Te 2.61

Properties
polymorph energy (0 for the lowest one): 0.300 eV per atom
spin magnetization: 0.2 μB/cell